# 1
4
Lattice="11.855 -0.015 -0.009 11.159 4.002 -0.009 11.159 1.933 3.504" Properties=species:S:1:pos:R:3 comment="Ba2ScPb, relaxed, DFT PBE" e_tot_ev_per_atom=-3.420 formation_energy_ev_per_atom=0.05 pbc="T T T"
Ba 0.385 0.067 0.039
Ba 7.955 1.378 0.811
Pb 16.719 2.896 1.706
Sc 26.201 4.539 2.673

# 2
4
Lattice="-0.719 -5.695 -10.658 1.743 -8.163 -8.768 -2.178 -8.535 -8.305" Properties=species:S:1:pos:R:3 comment="Ba2ScPb, relaxed, DFT PBE" e_tot_ev_per_atom=-3.322 formation_energy_ev_per_atom=0.15 pbc="T T T"
Ba -1.151 -22.348 -27.675
Ba -0.579 -11.242 -13.922
Pb -0.288 -5.598 -6.933
Sc -0.865 -16.795 -20.798

Q: Which formula does entry 2 have?
A: Ba2ScPb

Please write out number 1 again, unchanged.
4
Lattice="11.855 -0.015 -0.009 11.159 4.002 -0.009 11.159 1.933 3.504" Properties=species:S:1:pos:R:3 comment="Ba2ScPb, relaxed, DFT PBE" e_tot_ev_per_atom=-3.420 formation_energy_ev_per_atom=0.05 pbc="T T T"
Ba 0.385 0.067 0.039
Ba 7.955 1.378 0.811
Pb 16.719 2.896 1.706
Sc 26.201 4.539 2.673